(1)
SbAs2O6: relaxed, GGA-PBE.

Geometry as POSCAR:
```
SbAs2O6
1.0
2.519 1.454 6.597
-2.519 1.454 6.597
0.000 -2.909 6.597
Sb As O
1 2 6
Cartesian
0.000 0.000 0.000
0.000 0.000 11.285
0.000 0.000 15.101
-1.787 0.005 7.797
-0.899 -1.362 11.996
0.889 -1.550 7.797
-0.730 1.460 11.996
0.898 1.545 7.797
1.629 -0.097 11.996
```

N(E_F) = 1.83 states/eV/cell
Crystal system = trigonal
E_tot = -5.863 eV per atom
Space group = R3, No. 146
Magnetization = 1.0 μB per formula unit
Volume = 145 Å³/cell

(2)
SbAs3O: relaxed, GGA-PBE.

Geometry as POSCAR:
```
SbAs3O
1.0
4.524 0.000 0.000
0.000 4.524 0.000
0.000 0.000 4.524
Sb As O
1 3 1
Cartesian
0.000 0.000 0.000
0.000 2.262 2.262
2.262 0.000 2.262
2.262 2.262 0.000
2.262 2.262 2.262
```

N(E_F) = 2.27 states/eV/cell
Crystal system = cubic
Excess energy over the best structure of this formula in the dataset = 0 meV/atom
Space group = Pm-3m, No. 221
Magnetization = 0.0 μB per formula unit
Volume = 93 Å³/cell

(3)
SbAs2O: relaxed, GGA-PBE.

Geometry as POSCAR:
```
SbAs2O
1.0
0.000 3.275 3.275
3.275 0.000 3.275
3.275 3.275 0.000
Sb As O
1 2 1
Cartesian
0.000 0.000 0.000
1.638 1.638 1.638
4.913 4.913 4.913
3.275 3.275 3.275
```

N(E_F) = 1.97 states/eV/cell
Crystal system = cubic
Excess energy over the best structure of this formula in the dataset = 403 meV/atom
Space group = Fm-3m, No. 225
Magnetization = 0.0 μB per formula unit
Volume = 70 Å³/cell

(4)
SbAs2O: relaxed, GGA-PBE.

Geometry as POSCAR:
```
SbAs2O
1.0
-2.569 2.569 6.644
2.569 -2.569 6.644
2.569 2.569 -6.644
Sb As O
2 4 2
Cartesian
0.000 0.000 0.000
0.000 2.569 3.322
1.284 -0.596 4.983
1.972 1.284 1.661
1.284 3.165 -1.661
0.596 1.284 8.305
2.569 0.000 3.322
0.000 0.000 6.644
```

N(E_F) = 6.28 states/eV/cell
Crystal system = tetragonal
Excess energy over the best structure of this formula in the dataset = 0 meV/atom
Space group = I-42d, No. 122
Magnetization = 0.0 μB per formula unit
Volume = 175 Å³/cell